(1)
Below is a geometry-optimized FePd6Pt3 structure, with properties calculated at the PBE level.

a = 8.7561 Å, b = 3.9417 Å, c = 8.8001 Å
α = 90.00°, β = 90.55°, γ = 90.00°
With the nearest neighbours (Å) after each atom.
Sites, in units of the cell vectors:
Fe 0.0542 0.2500 0.3910  10 Pd 2.66-2.72, 2 Fe 2.92
Fe 0.9458 0.7500 0.6090  10 Pd 2.66-2.72, 2 Fe 2.92
Pd 0.0490 0.7500 0.8952  1 Fe 2.67, 7 Pd 2.75-2.84, 4 Pt 2.77-2.80
Pd 0.1372 0.2500 0.6857  3 Fe 2.67-2.69, 5 Pd 2.70-2.81, 4 Pt 2.85-2.87
Pd 0.1486 0.7500 0.2008  8 Pd 2.70-2.82, 2 Fe 2.72, 2 Pt 2.83
Pd 0.2330 0.7500 0.4972  3 Fe 2.68-2.71, 5 Pd 2.70-2.79, 4 Pt 2.80-2.91
Pd 0.3435 0.2500 0.3025  1 Fe 2.66, 6 Pd 2.75-2.82, 5 Pt 2.77-2.84
Pd 0.4475 0.7500 0.0996  5 Pd 2.77-2.82, 7 Pt 2.78-2.81
Pd 0.5525 0.2500 0.9004  5 Pd 2.77-2.82, 7 Pt 2.78-2.81
Pd 0.6565 0.7500 0.6975  1 Fe 2.66, 6 Pd 2.75-2.82, 5 Pt 2.77-2.84
Pd 0.7670 0.2500 0.5028  3 Fe 2.68-2.71, 5 Pd 2.70-2.79, 4 Pt 2.80-2.91
Pd 0.8514 0.2500 0.7992  8 Pd 2.70-2.82, 2 Fe 2.72, 2 Pt 2.83
Pd 0.8628 0.7500 0.3143  3 Fe 2.67-2.69, 5 Pd 2.70-2.81, 4 Pt 2.85-2.87
Pd 0.9510 0.2500 0.1048  1 Fe 2.67, 7 Pd 2.75-2.84, 4 Pt 2.77-2.80
Pt 0.2494 0.2500 0.9936  10 Pd 2.77-2.87, 2 Pt 2.78
Pt 0.3488 0.7500 0.7951  4 Pt 2.77-2.78, 8 Pd 2.78-2.87
Pt 0.4501 0.2500 0.5994  8 Pd 2.77-2.91, 4 Pt 2.77-2.78
Pt 0.5499 0.7500 0.4006  8 Pd 2.77-2.91, 4 Pt 2.77-2.78
Pt 0.6512 0.2500 0.2049  4 Pt 2.77-2.78, 8 Pd 2.78-2.87
Pt 0.7506 0.7500 0.0064  10 Pd 2.77-2.87, 2 Pt 2.78

Its space group is P2_1/m. As for the formation energy from the elements: -6.2 kJ/mol of atoms. The calculated density comes out at 13.99 Mg/m³.

---

(2)
Below is a geometry-optimized Fe9Pd11Pt4 structure, with properties calculated at the PBE level.

a = 11.1062 Å, b = 11.1062 Å, c = 2.6962 Å
α = 90.00°, β = 90.00°, γ = 91.87°
With the nearest neighbours (Å) after each atom.
Sites, in units of the cell vectors:
Fe 0.0000 0.0000 0.0000  4 Pt 2.53, 2 Fe 2.70
Fe 0.1283 0.6293 0.0000  3 Fe 2.53-2.70, 6 Pd 2.56-2.72, 1 Pt 2.62
Fe 0.2914 0.4757 0.0000  3 Fe 2.53-2.70, 8 Pd 2.58-2.69
Fe 0.3707 0.8717 0.0000  3 Fe 2.53-2.70, 6 Pd 2.56-2.72, 1 Pt 2.62
Fe 0.4757 0.2914 0.0000  3 Fe 2.53-2.70, 8 Pd 2.58-2.69
Fe 0.5243 0.7086 0.0000  3 Fe 2.53-2.70, 8 Pd 2.58-2.69
Fe 0.6293 0.1283 0.0000  3 Fe 2.53-2.70, 6 Pd 2.56-2.72, 1 Pt 2.62
Fe 0.7086 0.5243 0.0000  3 Fe 2.53-2.70, 8 Pd 2.58-2.69
Fe 0.8717 0.3707 0.0000  3 Fe 2.53-2.70, 6 Pd 2.56-2.72, 1 Pt 2.62
Pd 0.0956 0.4354 0.5000  4 Fe 2.56-2.59, 4 Pd 2.60-2.72, 2 Pt 2.74
Pd 0.1589 0.8411 0.5000  3 Pd 2.70, 6 Fe 2.72-2.87, 4 Pt 2.77
Pd 0.2747 0.2747 0.5000  4 Fe 2.61, 4 Pd 2.70-2.72, 4 Pt 2.86
Pd 0.3280 0.6720 0.5000  8 Fe 2.58-2.63, 4 Pd 2.70-2.74
Pd 0.4354 0.0956 0.5000  4 Fe 2.56-2.59, 4 Pd 2.60-2.72, 2 Pt 2.74
Pd 0.5000 0.5000 0.5000  8 Fe 2.69, 4 Pd 2.70-2.74
Pd 0.5646 0.9044 0.5000  4 Fe 2.56-2.59, 4 Pd 2.60-2.72, 2 Pt 2.74
Pd 0.6720 0.3280 0.5000  8 Fe 2.58-2.63, 4 Pd 2.70-2.74
Pd 0.7253 0.7253 0.5000  4 Fe 2.61, 4 Pd 2.70-2.72, 4 Pt 2.86
Pd 0.8411 0.1589 0.5000  3 Pd 2.70, 6 Fe 2.72-2.87, 4 Pt 2.77
Pd 0.9044 0.5646 0.5000  4 Fe 2.56-2.59, 4 Pd 2.60-2.72, 2 Pt 2.74
Pt 0.0513 0.2237 0.0000  2 Fe 2.53-2.62, 3 Pt 2.70-2.75, 4 Pd 2.74-2.77
Pt 0.2237 0.0513 0.0000  2 Fe 2.53-2.62, 3 Pt 2.70-2.75, 4 Pd 2.74-2.77
Pt 0.7763 0.9487 0.0000  2 Fe 2.53-2.62, 3 Pt 2.70-2.75, 4 Pd 2.74-2.77
Pt 0.9487 0.7763 0.0000  2 Fe 2.53-2.62, 3 Pt 2.70-2.75, 4 Pd 2.74-2.77

Its space group is Cmmm. As for the formation energy from the elements: 25.0 kJ/mol of atoms. The calculated density comes out at 12.26 Mg/m³.

---

(3)
Below is a geometry-optimized Fe2PdPt8 structure, with properties calculated at the PBE level.

a = 7.3364 Å, b = 7.3364 Å, c = 6.2599 Å
α = 105.24°, β = 105.24°, γ = 30.90°
With the nearest neighbours (Å) after each atom.
Sites, in units of the cell vectors:
Fe 0.2268 0.2268 0.1462  10 Pt 2.67-2.75, 2 Fe 2.87
Fe 0.7732 0.7732 0.8538  10 Pt 2.67-2.75, 2 Fe 2.87
Pd 0.5000 0.5000 0.5000  12 Pt 2.78-2.86
Pt 0.0480 0.0480 0.2263  1 Fe 2.71, 9 Pt 2.76-2.92, 2 Pd 2.80
Pt 0.1437 0.1437 0.7026  3 Fe 2.67-2.70, 7 Pt 2.72-2.92, 2 Pd 2.86
Pt 0.3173 0.3173 0.5874  3 Fe 2.71-2.75, 8 Pt 2.74-2.82, 1 Pd 2.78
Pt 0.4012 0.4012 0.0390  3 Fe 2.70-2.73, 8 Pt 2.72-2.97, 1 Pd 2.84
Pt 0.5988 0.5988 0.9610  3 Fe 2.70-2.73, 8 Pt 2.72-2.97, 1 Pd 2.84
Pt 0.6827 0.6827 0.4126  3 Fe 2.71-2.75, 8 Pt 2.74-2.82, 1 Pd 2.78
Pt 0.8563 0.8563 0.2974  3 Fe 2.67-2.70, 7 Pt 2.72-2.92, 2 Pd 2.86
Pt 0.9520 0.9520 0.7737  1 Fe 2.71, 9 Pt 2.76-2.92, 2 Pd 2.80

Its space group is C2/m. As for the formation energy from the elements: -15.3 kJ/mol of atoms. The calculated density comes out at 17.74 Mg/m³.

---

(4)
Below is a geometry-optimized Fe2Pd9Pt structure, with properties calculated at the PBE level.

a = 3.9142 Å, b = 3.9142 Å, c = 11.7152 Å
α = 90.00°, β = 90.00°, γ = 90.00°
With the nearest neighbours (Å) after each atom.
Sites, in units of the cell vectors:
Fe 0.0000 0.0000 0.1673  12 Pd 2.70-2.77
Fe 0.0000 0.0000 0.8327  12 Pd 2.70-2.77
Pd 0.0000 0.5000 0.0000  8 Pd 2.74-2.77, 4 Fe 2.77
Pd 0.0000 0.5000 0.3260  2 Fe 2.70, 8 Pd 2.73-2.83, 2 Pt 2.83
Pd 0.0000 0.5000 0.6740  2 Fe 2.70, 8 Pd 2.73-2.83, 2 Pt 2.83
Pd 0.5000 0.0000 0.0000  8 Pd 2.74-2.77, 4 Fe 2.77
Pd 0.5000 0.0000 0.3260  2 Fe 2.70, 8 Pd 2.73-2.83, 2 Pt 2.83
Pd 0.5000 0.0000 0.6740  2 Fe 2.70, 8 Pd 2.73-2.83, 2 Pt 2.83
Pd 0.5000 0.5000 0.1634  8 Pd 2.73-2.74, 4 Fe 2.77
Pd 0.5000 0.5000 0.5000  4 Pt 2.77, 8 Pd 2.83
Pd 0.5000 0.5000 0.8366  8 Pd 2.73-2.74, 4 Fe 2.77
Pt 0.0000 0.0000 0.5000  12 Pd 2.77-2.83

Its space group is P4/mmm. As for the formation energy from the elements: -7.9 kJ/mol of atoms. The calculated density comes out at 11.70 Mg/m³.

---

(5)
Below is a geometry-optimized Fe3PdPt structure, with properties calculated at the PBE level.

a = 4.6472 Å, b = 4.6472 Å, c = 4.6472 Å
α = 90.00°, β = 90.00°, γ = 90.00°
With the nearest neighbours (Å) after each atom.
Sites, in units of the cell vectors:
Fe 0.0000 0.0000 0.5000  2 Pt 2.32
Fe 0.0000 0.5000 0.0000  2 Pt 2.32
Fe 0.5000 0.0000 0.0000  2 Pt 2.32
Pd 0.5000 0.5000 0.5000  12 Fe 3.29
Pt 0.0000 0.0000 0.0000  6 Fe 2.32

Its space group is Pm-3m. As for the formation energy from the elements: 107.1 kJ/mol of atoms. The calculated density comes out at 7.76 Mg/m³.

---

(6)
Below is a geometry-optimized FePd8Pt6 structure, with properties calculated at the PBE level.

a = 6.8958 Å, b = 6.8958 Å, c = 6.8958 Å
α = 60.49°, β = 60.49°, γ = 60.49°
With the nearest neighbours (Å) after each atom.
Sites, in units of the cell vectors:
Fe 0.0000 0.0000 0.0000  6 Pt 2.64, 6 Pd 2.77
Pd 0.1169 0.8151 0.6645  6 Pd 2.67-2.85, 3 Pt 2.70-2.82, 1 Fe 2.77
Pd 0.1849 0.3355 0.8831  6 Pd 2.67-2.85, 3 Pt 2.70-2.82, 1 Fe 2.77
Pd 0.3355 0.8831 0.1849  6 Pd 2.67-2.85, 3 Pt 2.70-2.82, 1 Fe 2.77
Pd 0.4213 0.4213 0.4213  4 Pd 2.65-2.67, 6 Pt 2.73-2.91
Pd 0.5787 0.5787 0.5787  4 Pd 2.65-2.67, 6 Pt 2.73-2.91
Pd 0.6645 0.1169 0.8151  6 Pd 2.67-2.85, 3 Pt 2.70-2.82, 1 Fe 2.77
Pd 0.8151 0.6645 0.1169  6 Pd 2.67-2.85, 3 Pt 2.70-2.82, 1 Fe 2.77
Pd 0.8831 0.1849 0.3355  6 Pd 2.67-2.85, 3 Pt 2.70-2.82, 1 Fe 2.77
Pt 0.0621 0.2693 0.5530  1 Fe 2.64, 3 Pt 2.65-2.87, 5 Pd 2.70-2.91
Pt 0.2693 0.5530 0.0621  1 Fe 2.64, 3 Pt 2.65-2.87, 5 Pd 2.70-2.91
Pt 0.4470 0.9379 0.7307  1 Fe 2.64, 3 Pt 2.65-2.87, 5 Pd 2.70-2.91
Pt 0.5530 0.0621 0.2693  1 Fe 2.64, 3 Pt 2.65-2.87, 5 Pd 2.70-2.91
Pt 0.7307 0.4470 0.9379  1 Fe 2.64, 3 Pt 2.65-2.87, 5 Pd 2.70-2.91
Pt 0.9379 0.7307 0.4470  1 Fe 2.64, 3 Pt 2.65-2.87, 5 Pd 2.70-2.91

Its space group is R-3. As for the formation energy from the elements: 3.3 kJ/mol of atoms. The calculated density comes out at 14.72 Mg/m³.

---

(7)
Below is a geometry-optimized Fe4PdPt4 structure, with properties calculated at the PBE level.

a = 6.0745 Å, b = 6.0745 Å, c = 6.0745 Å
α = 95.79°, β = 95.79°, γ = 142.96°
With the nearest neighbours (Å) after each atom.
Sites, in units of the cell vectors:
Fe 0.0000 0.3394 0.3394  5 Fe 2.62-2.67, 6 Pt 2.69-2.75, 1 Pd 2.76
Fe 0.0000 0.6606 0.6606  5 Fe 2.62-2.67, 6 Pt 2.69-2.75, 1 Pd 2.76
Fe 0.3394 0.0000 0.3394  5 Fe 2.62-2.67, 6 Pt 2.69-2.75, 1 Pd 2.76
Fe 0.6606 0.0000 0.6606  5 Fe 2.62-2.67, 6 Pt 2.69-2.75, 1 Pd 2.76
Pd 0.0000 0.0000 0.0000  8 Pt 2.75, 4 Fe 2.76
Pt 0.3304 0.3304 0.6609  4 Pt 2.68-2.76, 6 Fe 2.69-2.75, 2 Pd 2.75
Pt 0.3304 0.6696 0.0000  4 Pt 2.68-2.76, 6 Fe 2.69-2.75, 2 Pd 2.75
Pt 0.6696 0.3304 0.0000  4 Pt 2.68-2.76, 6 Fe 2.69-2.75, 2 Pd 2.75
Pt 0.6696 0.6696 0.3391  4 Pt 2.68-2.76, 6 Fe 2.69-2.75, 2 Pd 2.75

Its space group is I4/mmm. As for the formation energy from the elements: -14.3 kJ/mol of atoms. The calculated density comes out at 14.40 Mg/m³.

---

(8)
Below is a geometry-optimized Fe3PdPt4 structure, with properties calculated at the PBE level.

a = 3.8176 Å, b = 3.9035 Å, c = 7.7818 Å
α = 90.00°, β = 90.00°, γ = 90.00°
With the nearest neighbours (Å) after each atom.
Sites, in units of the cell vectors:
Fe 0.0000 0.0000 0.0000  8 Pt 2.69-2.73, 4 Fe 2.73
Fe 0.0000 0.5000 0.2455  8 Pt 2.70-2.75, 2 Fe 2.73, 2 Pd 2.78
Fe 0.0000 0.5000 0.7545  8 Pt 2.70-2.75, 2 Fe 2.73, 2 Pd 2.78
Pd 0.0000 0.0000 0.5000  8 Pt 2.73-2.76, 4 Fe 2.78
Pt 0.5000 0.0000 0.2442  6 Fe 2.69-2.73, 4 Pt 2.72-2.79, 2 Pd 2.76
Pt 0.5000 0.0000 0.7558  6 Fe 2.69-2.73, 4 Pt 2.72-2.79, 2 Pd 2.76
Pt 0.5000 0.5000 0.0000  8 Fe 2.70-2.73, 4 Pt 2.72
Pt 0.5000 0.5000 0.5000  4 Pd 2.73, 4 Fe 2.75, 4 Pt 2.79

Its space group is Pmmm. As for the formation energy from the elements: -20.8 kJ/mol of atoms. The calculated density comes out at 15.10 Mg/m³.

---

(9)
Below is a geometry-optimized FePd2Pt2 structure, with properties calculated at the PBE level.

a = 6.4807 Å, b = 6.4807 Å, c = 3.9153 Å
α = 90.00°, β = 90.00°, γ = 90.00°
With the nearest neighbours (Å) after each atom.
Sites, in units of the cell vectors:
Fe 0.0000 0.0000 0.0000  4 Pt 2.49
Fe 0.5000 0.5000 0.0000  4 Pt 2.49
Pd 0.1588 0.3412 0.5000  6 Pt 2.67-2.77, 1 Pd 2.91
Pd 0.3412 0.8412 0.5000  6 Pt 2.67-2.77, 1 Pd 2.91
Pd 0.6588 0.1588 0.5000  6 Pt 2.67-2.77, 1 Pd 2.91
Pd 0.8412 0.6588 0.5000  6 Pt 2.67-2.77, 1 Pd 2.91
Pt 0.1432 0.6432 0.0000  2 Fe 2.49, 1 Pt 2.62, 6 Pd 2.67-2.77
Pt 0.3568 0.1432 0.0000  2 Fe 2.49, 1 Pt 2.62, 6 Pd 2.67-2.77
Pt 0.6432 0.8568 0.0000  2 Fe 2.49, 1 Pt 2.62, 6 Pd 2.67-2.77
Pt 0.8568 0.3568 0.0000  2 Fe 2.49, 1 Pt 2.62, 6 Pd 2.67-2.77

Its space group is P4/mbm. As for the formation energy from the elements: 13.4 kJ/mol of atoms. The calculated density comes out at 13.31 Mg/m³.

---

(10)
Below is a geometry-optimized Fe6PdPt3 structure, with properties calculated at the PBE level.

a = 7.1219 Å, b = 4.3921 Å, c = 9.3783 Å
α = 90.00°, β = 111.16°, γ = 90.00°
With the nearest neighbours (Å) after each atom.
Sites, in units of the cell vectors:
Fe 0.0128 0.2500 0.1710  5 Pt 2.64-2.70, 6 Fe 2.65-2.80, 1 Pd 2.66
Fe 0.0235 0.2500 0.6825  8 Fe 2.48-2.70, 2 Pt 2.74
Fe 0.1813 0.7500 0.6177  4 Pt 2.57-2.65, 7 Fe 2.64-2.80, 1 Pd 2.72
Fe 0.2032 0.2500 0.9663  5 Fe 2.50-2.72, 4 Pt 2.62-2.76, 3 Pd 2.66-2.72
Fe 0.3825 0.7500 0.4263  7 Pt 2.63-2.74, 5 Fe 2.67-2.80
Fe 0.3967 0.2500 0.7679  4 Fe 2.48-2.76, 4 Pt 2.63-2.74, 3 Pd 2.66-2.73
Fe 0.6033 0.7500 0.2321  4 Fe 2.48-2.76, 4 Pt 2.63-2.74, 3 Pd 2.66-2.73
Fe 0.6175 0.2500 0.5737  7 Pt 2.63-2.74, 5 Fe 2.67-2.80
Fe 0.7968 0.7500 0.0337  5 Fe 2.50-2.72, 4 Pt 2.62-2.76, 3 Pd 2.66-2.72
Fe 0.8187 0.2500 0.3823  4 Pt 2.57-2.65, 7 Fe 2.64-2.80, 1 Pd 2.72
Fe 0.9765 0.7500 0.3175  8 Fe 2.48-2.70, 2 Pt 2.74
Fe 0.9872 0.7500 0.8290  5 Pt 2.64-2.70, 6 Fe 2.65-2.80, 1 Pd 2.66
Pd 0.3880 0.7500 0.9248  8 Fe 2.66-2.73, 2 Pt 2.71-2.73, 2 Pd 2.78
Pd 0.6120 0.2500 0.0752  8 Fe 2.66-2.73, 2 Pt 2.71-2.73, 2 Pd 2.78
Pt 0.1913 0.7500 0.1268  9 Fe 2.62-2.74, 1 Pd 2.73, 2 Pt 2.79
Pt 0.2053 0.2500 0.4695  11 Fe 2.57-2.80, 1 Pt 2.75
Pt 0.4196 0.2500 0.2767  8 Fe 2.63-2.76, 1 Pd 2.71, 3 Pt 2.75-2.79
Pt 0.5804 0.7500 0.7233  8 Fe 2.63-2.76, 1 Pd 2.71, 3 Pt 2.75-2.79
Pt 0.7947 0.7500 0.5305  11 Fe 2.57-2.80, 1 Pt 2.75
Pt 0.8087 0.2500 0.8732  9 Fe 2.62-2.74, 1 Pd 2.73, 2 Pt 2.79

Its space group is P2_1/m. As for the formation energy from the elements: -10.1 kJ/mol of atoms. The calculated density comes out at 12.46 Mg/m³.